[1]
DFT (GGA-PBE) results for an optimized crystal structure of LiDy2Tm3Se6.

E_tot: -5.5042 eV/atom
uncorrected formation energy: -1.718 eV/atom

Cell lengths 17.574, 4.022, 8.057 Å; angles 90.00, 103.30, 90.00 degrees
Space group C2/m (No. 12)
Inequivalent atoms, fractional coordinates:
Li 0.000 0.000 0.000 (multiplicity 2)
Dy 0.170 0.500 0.341 (multiplicity 4)
Tm 0.000 0.000 0.500 (multiplicity 2)
Tm 0.167 0.500 0.829 (multiplicity 4)
Se 0.000 0.500 0.245 (multiplicity 4)
Se 0.163 0.000 0.587 (multiplicity 4)
Se 0.164 0.000 0.078 (multiplicity 4)

***

[2]
DFT (GGA-PBE) results for an optimized crystal structure of Li3DyU2Se6.

E_tot: -5.8232 eV/atom
uncorrected formation energy: -1.338 eV/atom

Cell lengths 7.016, 12.153, 6.967 Å; angles 90.00, 109.60, 90.00 degrees
Space group C2/m (No. 12)
Inequivalent atoms, fractional coordinates:
Li 0.000 0.000 0.000 (multiplicity 2)
Li 0.000 0.335 0.000 (multiplicity 4)
Dy 0.000 0.500 0.500 (multiplicity 2)
U 0.000 0.167 0.500 (multiplicity 4)
Se 0.246 0.500 0.242 (multiplicity 4)
Se 0.248 0.166 0.242 (multiplicity 8)

***

[3]
DFT (GGA-PBE) results for an optimized crystal structure of LiDyUSe4.

E_tot: -5.9753 eV/atom
uncorrected formation energy: -1.441 eV/atom

Cell lengths 8.234, 8.354, 11.680 Å; angles 90.00, 90.00, 90.00 degrees
Space group Imma (No. 74)
Inequivalent atoms, fractional coordinates:
Li 0.000 0.250 0.131 (multiplicity 4)
Dy 0.250 0.250 0.750 (multiplicity 4)
U 0.000 0.000 0.500 (multiplicity 4)
Se 0.000 0.011 0.742 (multiplicity 8)
Se 0.236 0.250 0.504 (multiplicity 8)

***

[4]
DFT (GGA-PBE) results for an optimized crystal structure of Li3Dy3USe8.

E_tot: -5.4816 eV/atom
uncorrected formation energy: -1.567 eV/atom

Cell lengths 8.1778, 8.1778, 19.4869 Å; angles 90.00, 90.00, 120.00 degrees
Space group R-3m (No. 166, hexagonal axes)
Inequivalent atoms, fractional coordinates:
Li 0.0000 0.5000 0.0000 (multiplicity 9)
Dy 0.0000 0.5000 0.5000 (multiplicity 9)
U 0.0000 0.0000 0.5000 (multiplicity 3)
Se 0.0000 0.0000 0.2510 (multiplicity 6)
Se 0.0037 0.5018 0.2493 (multiplicity 18)

***

[5]
DFT (GGA-PBE) results for an optimized crystal structure of LiDyUSe3.

E_tot: -6.0320 eV/atom
uncorrected formation energy: -1.322 eV/atom

Cell lengths 8.467, 3.916, 8.783 Å; angles 90.00, 103.50, 90.00 degrees
Space group P2_1/m (No. 11)
Inequivalent atoms, fractional coordinates:
Li 0.086 0.250 0.080 (multiplicity 2)
Dy 0.336 0.750 0.336 (multiplicity 2)
U 0.177 0.250 0.713 (multiplicity 2)
Se 0.096 0.250 0.365 (multiplicity 2)
Se 0.223 0.750 0.990 (multiplicity 2)
Se 0.425 0.750 0.675 (multiplicity 2)

***

[6]
DFT (GGA-PBE) results for an optimized crystal structure of Li2Dy2USe6.

E_tot: -5.6314 eV/atom
uncorrected formation energy: -1.520 eV/atom

Cell lengths 7.101, 12.288, 6.894 Å; angles 90.00, 109.88, 90.00 degrees
Space group C2/m (No. 12)
Inequivalent atoms, fractional coordinates:
Li 0.000 0.169 0.000 (multiplicity 4)
Dy 0.000 0.334 0.500 (multiplicity 4)
U 0.000 0.000 0.500 (multiplicity 2)
Se 0.244 0.000 0.252 (multiplicity 4)
Se 0.245 0.167 0.749 (multiplicity 8)

***

Taking the records one at a time from the top gives ρ values of 7.87; 6.73; 5.98; 6.08; 7.56; 6.17 g/cm³.
Taking the records one at a time from the top gives volume values of 554.1; 559.6; 803.5; 1128.6; 283.2; 565.7 Å³/cell.
Taking the records one at a time from the top gives total magnetic moment values of 0.0; 12.0; 8.0; 6.0; 6.5; 4.0 μB per cell.